No. 1
# Si2NiAu

Crystalline Si2NiAu at its relaxed geometry (GGA-PBE, Alexandria).

Crystal system ... orthorhombic
ΔE_f (raw) ... -0.04 eV per atom
SG ... Imm2 (44)

Lattice parameters (Å, degrees): 3.6429 5.7670 5.8161 90.00 90.00 90.00
With the nearest neighbours (Å) after each atom.
Atoms (fractional coordinates):
Si 0.0000 0.1988 0.0000  1 Si 2.29, 3 Ni 2.40-2.49, 2 Au 2.56
Si 0.0000 0.8012 0.0000  1 Si 2.29, 3 Ni 2.40-2.49, 2 Au 2.56
Si 0.5000 0.3012 0.5000  1 Si 2.29, 3 Ni 2.40-2.49, 2 Au 2.56
Si 0.5000 0.6988 0.5000  1 Si 2.29, 3 Ni 2.40-2.49, 2 Au 2.56
Ni 0.0000 0.5000 0.2852  6 Si 2.40-2.49
Ni 0.5000 0.0000 0.7852  6 Si 2.40-2.49
Au 0.0000 0.0000 0.4152  6 Si 2.56-2.67, 2 Ni 2.82
Au 0.5000 0.5000 0.9152  6 Si 2.56-2.67, 2 Ni 2.82



No. 2
# AlAgSn

Crystalline AlAgSn at its relaxed geometry (GGA-PBE, Alexandria).

Crystal system ... triclinic
Energy of formation ... 0.07 eV/atom
SG ... P-1 (2)

Lattice parameters (Å, degrees): 4.3703 4.8521 6.5926 79.43 85.54 74.77
With the nearest neighbours (Å) after each atom.
Atoms (fractional coordinates):
Al 0.1133 0.2955 0.1941  4 Ag 2.71-2.79, 3 Sn 2.94-2.97, 1 Al 2.99
Al 0.8867 0.7045 0.8059  4 Ag 2.71-2.79, 3 Sn 2.94-2.97, 1 Al 2.99
Ag 0.3398 0.7689 0.0567  4 Al 2.71-2.79, 2 Ag 2.82-2.90, 2 Sn 2.98-3.01
Ag 0.6602 0.2311 0.9433  4 Al 2.71-2.79, 2 Ag 2.82-2.90, 2 Sn 2.98-3.01
Sn 0.2091 0.1679 0.6419  3 Al 2.94-2.97, 3 Ag 2.98-3.04, 1 Sn 3.29
Sn 0.7909 0.8321 0.3581  3 Al 2.94-2.97, 3 Ag 2.98-3.04, 1 Sn 3.29



No. 3
# TbPr7

Crystalline TbPr7 at its relaxed geometry (GGA-PBE, Alexandria).

Crystal system ... cubic
Energy of formation ... 0.01 eV/atom
SG ... Fm-3m (225)

Lattice parameters (Å, degrees): 7.3900 7.3900 7.3900 60.00 60.00 60.00
With the nearest neighbours (Å) after each atom.
Atoms (fractional coordinates):
Tb 0.0000 0.0000 0.0000  12 Pr 3.70
Pr 0.0000 0.0000 0.5000  2 Tb 3.70, 10 Pr 3.70
Pr 0.0000 0.5000 0.0000  2 Tb 3.70, 10 Pr 3.70
Pr 0.0000 0.5000 0.5000  10 Pr 3.70, 2 Tb 3.70
Pr 0.5000 0.0000 0.0000  2 Tb 3.70, 10 Pr 3.70
Pr 0.5000 0.0000 0.5000  10 Pr 3.70, 2 Tb 3.70
Pr 0.5000 0.5000 0.0000  10 Pr 3.70, 2 Tb 3.70
Pr 0.5000 0.5000 0.5000  12 Pr 3.70



No. 4
# TaB2Cl

Crystalline TaB2Cl at its relaxed geometry (GGA-PBE, Alexandria).

Crystal system ... cubic
ΔE_f (raw) ... 1.64 eV per atom
SG ... Fm-3m (225)

Lattice parameters (Å, degrees): 5.8744 5.8744 5.8744 90.00 90.00 90.00
With the nearest neighbours (Å) after each atom.
Atoms (fractional coordinates):
Ta 0.0000 0.0000 0.0000  8 B 2.54
Ta 0.0000 0.5000 0.5000  8 B 2.54
Ta 0.5000 0.0000 0.5000  8 B 2.54
Ta 0.5000 0.5000 0.0000  8 B 2.54
B 0.2500 0.2500 0.2500  4 Ta 2.54, 4 Cl 2.54
B 0.2500 0.2500 0.7500  4 Ta 2.54, 4 Cl 2.54
B 0.2500 0.7500 0.2500  4 Ta 2.54, 4 Cl 2.54
B 0.2500 0.7500 0.7500  4 Ta 2.54, 4 Cl 2.54
B 0.7500 0.2500 0.2500  4 Ta 2.54, 4 Cl 2.54
B 0.7500 0.2500 0.7500  4 Ta 2.54, 4 Cl 2.54
B 0.7500 0.7500 0.2500  4 Ta 2.54, 4 Cl 2.54
B 0.7500 0.7500 0.7500  4 Cl 2.54, 4 Ta 2.54
Cl 0.0000 0.0000 0.5000  8 B 2.54
Cl 0.0000 0.5000 0.0000  8 B 2.54
Cl 0.5000 0.0000 0.0000  8 B 2.54
Cl 0.5000 0.5000 0.5000  8 B 2.54



Number 1: N(E_F) 2.052 states/eV/f.u., spin magnetization 0.00 μB per cell. Number 2: N(E_F) 0.965 states/eV/f.u., spin magnetization 0.00 μB per cell. Number 3: N(E_F) 10.160 states/eV/f.u., spin magnetization 0.00 μB per cell. Number 4: N(E_F) 1.668 states/eV/f.u., spin magnetization 0.00 μB per cell.